Record 1
A geometry-optimized Pm5Pr12Pb2 structure. Source: the Alexandria database, functional PBE.

Lattice parameters (Å, degrees): 8.788 12.339 8.296 122.74 90.00 110.86
Element x y z (fractional)
Pm  0.232  0.463  0.415
Pm  0.227  0.455  0.988
Pm  0.000  0.000  0.500
Pm  0.773  0.545  0.012
Pm  0.768  0.537  0.585
Pr  0.936  0.871  0.029
Pr  0.137  0.653  0.858
Pr  0.516  0.653  0.858
Pr  0.124  0.758  0.497
Pr  0.635  0.758  0.497
Pr  0.551  0.102  0.734
Pr  0.449  0.898  0.266
Pr  0.876  0.242  0.503
Pr  0.365  0.242  0.503
Pr  0.863  0.347  0.142
Pr  0.484  0.347  0.142
Pr  0.064  0.129  0.971
Pb  0.676  0.000  0.000
Pb  0.324  0.000  0.000

Properties
- ΔH_f (0 K) (eV per atom) = 0.10
- M_tot (μB/atom) = 0.00
- raw total energy (eV/atom) = -4.55

***

Record 2
A geometry-optimized MgBi2P structure. Source: the Alexandria database, functional PBE.

Lattice parameters (Å, degrees): 5.211 5.211 5.211 60.00 60.00 60.00
Element x y z (fractional)
P  0.500  0.500  0.500
Mg  0.000  0.000  0.000
Bi  0.250  0.250  0.250
Bi  0.750  0.750  0.750

Properties
- ΔH_f (0 K) (eV per atom) = 0.28
- offset from the most stable computed form (meV/atom) = 33.5
- M_tot (μB/atom) = 0.00
- raw total energy (eV/atom) = -3.42

***

Record 3
A geometry-optimized Na2CoSb2 structure. Source: the Alexandria database, functional PBE.

Lattice parameters (Å, degrees): 6.665 6.665 5.286 90.00 90.00 90.00
Element x y z (fractional)
Sb  0.346  0.846  0.000
Sb  0.846  0.654  0.000
Sb  0.654  0.154  0.000
Sb  0.154  0.346  0.000
Co  0.000  0.000  0.000
Co  0.500  0.500  0.000
Na  0.172  0.672  0.500
Na  0.672  0.828  0.500
Na  0.828  0.328  0.500
Na  0.328  0.172  0.500

Properties
- M_tot (μB/atom) = 0.00
- formation energy from raw total energies (meV/atom) = -173
- raw total energy (eV/atom) = -3.77